1.
An optimized crystal structure of H12PbN3Cl5. Source: Alexandria via LeMat-Bulk, functional GGA-PBE.

a = 8.129 Å, b = 16.229 Å, c = 8.782 Å
α = 90.00°, β = 90.00°, γ = 90.00°
Element x y z (fractional)
H  0.037  0.250  0.228
H  0.040  0.750  0.593
H  0.128  0.082  0.046
H  0.128  0.418  0.046
H  0.138  0.198  0.365
H  0.138  0.302  0.365
H  0.179  0.580  0.471
H  0.179  0.920  0.471
H  0.211  0.557  0.656
H  0.211  0.943  0.656
H  0.224  0.510  0.016
H  0.224  0.990  0.016
H  0.276  0.010  0.516
H  0.276  0.490  0.516
H  0.289  0.057  0.156
H  0.289  0.443  0.156
H  0.321  0.080  0.971
H  0.321  0.420  0.971
H  0.362  0.698  0.865
H  0.362  0.802  0.865
H  0.372  0.582  0.546
H  0.372  0.918  0.546
H  0.460  0.250  0.093
H  0.463  0.750  0.728
H  0.537  0.250  0.272
H  0.540  0.750  0.907
H  0.628  0.082  0.454
H  0.628  0.418  0.454
H  0.638  0.198  0.135
H  0.638  0.302  0.135
H  0.679  0.580  0.029
H  0.679  0.920  0.029
H  0.711  0.557  0.844
H  0.711  0.943  0.844
H  0.724  0.510  0.484
H  0.724  0.990  0.484
H  0.776  0.010  0.984
H  0.776  0.490  0.984
H  0.789  0.057  0.344
H  0.789  0.443  0.344
H  0.821  0.080  0.529
H  0.821  0.420  0.529
H  0.862  0.698  0.635
H  0.862  0.802  0.635
H  0.872  0.582  0.954
H  0.872  0.918  0.954
H  0.960  0.250  0.407
H  0.963  0.750  0.772
Pb  0.124  0.750  0.178
Pb  0.376  0.250  0.678
Pb  0.624  0.750  0.322
Pb  0.876  0.250  0.822
N  0.067  0.250  0.342
N  0.241  0.052  0.047
N  0.241  0.448  0.047
N  0.259  0.552  0.547
N  0.259  0.948  0.547
N  0.433  0.750  0.842
N  0.567  0.250  0.158
N  0.741  0.052  0.453
N  0.741  0.448  0.453
N  0.759  0.552  0.953
N  0.759  0.948  0.953
N  0.933  0.750  0.658
Cl  0.036  0.124  0.674
Cl  0.036  0.376  0.674
Cl  0.139  0.617  0.882
Cl  0.139  0.883  0.882
Cl  0.204  0.250  0.976
Cl  0.296  0.750  0.476
Cl  0.361  0.117  0.382
Cl  0.361  0.383  0.382
Cl  0.464  0.624  0.174
Cl  0.464  0.876  0.174
Cl  0.536  0.124  0.826
Cl  0.536  0.376  0.826
Cl  0.639  0.617  0.618
Cl  0.639  0.883  0.618
Cl  0.704  0.250  0.524
Cl  0.796  0.750  0.024
Cl  0.861  0.117  0.118
Cl  0.861  0.383  0.118
Cl  0.964  0.624  0.326
Cl  0.964  0.876  0.326

Output
* magnetic moment: 0.0 μB per cell
* space group: Pnma (62)
* DOS(E_F): 0.0 states/eV/f.u.
* raw total energy: -4.43 eV/atom

---

2.
An optimized crystal structure of Rb2GaRhO4. Source: Alexandria via LeMat-Bulk, functional GGA-PBE.

a = 11.439 Å, b = 10.026 Å, c = 6.854 Å
α = 83.04°, β = 60.46°, γ = 36.50°
Element x y z (fractional)
Rb  0.053  0.053  0.697
Rb  0.303  0.303  0.947
Rb  0.697  0.697  0.053
Rb  0.947  0.947  0.303
Ga  0.375  0.375  0.375
Ga  0.625  0.625  0.625
Rh  0.125  0.125  0.125
Rh  0.875  0.875  0.875
O  0.013  0.654  0.574
O  0.259  0.574  0.654
O  0.346  0.987  0.741
O  0.426  0.741  0.987
O  0.574  0.259  0.013
O  0.654  0.013  0.259
O  0.741  0.426  0.346
O  0.987  0.346  0.426

Output
* ΔE_f (raw): -9.3 eV/f.u.
* magnetic moment: 0.0 μB per cell
* space group: Fddd (70)
* raw total energy: -5.18 eV/atom

---

3.
An optimized crystal structure of Tb2SmCd. Source: Alexandria via LeMat-Bulk, functional GGA-PBE.

a = 12.353 Å, b = 12.353 Å, c = 12.353 Å
α = 16.29°, β = 16.29°, γ = 16.29°
Element x y z (fractional)
Tb  0.088  0.088  0.088
Tb  0.912  0.912  0.912
Sm  0.500  0.500  0.500
Cd  0.000  0.000  0.000

Output
* magnetic moment: 0.0 μB per cell
* space group: R-3m (166)
* energy of formation from the pure elements: 0.173 eV per atom
* DOS(E_F): 4.9 states/eV/f.u.
* energy above the lowest structure with this stoichiometry: 0.323 eV/atom
* raw total energy: -3.55 eV/atom

---

4.
An optimized crystal structure of RbGaPb. Source: Alexandria via LeMat-Bulk, functional GGA-PBE.

a = 7.693 Å, b = 7.693 Å, c = 4.458 Å
α = 90.00°, β = 90.00°, γ = 117.00°
Element x y z (fractional)
Rb  0.250  0.250  0.000
Rb  0.750  0.750  0.000
Ga  0.000  0.500  0.500
Ga  0.500  0.000  0.500
Pb  0.250  0.750  0.970
Pb  0.750  0.250  0.030

Output
* magnetic moment: 0.0 μB per cell
* space group: Cmme (67)
* energy of formation from the pure elements: 0.047 eV per atom
* DOS(E_F): 1.3 states/eV/f.u.
* raw total energy: -2.52 eV/atom

---

5.
An optimized crystal structure of Sr2PmTlS4. Source: Alexandria via LeMat-Bulk, functional GGA-PBE.

a = 7.232 Å, b = 4.259 Å, c = 7.563 Å
α = 90.00°, β = 108.78°, γ = 90.00°
Element x y z (fractional)
Sr  0.000  0.000  0.000
Sr  0.000  0.500  0.500
Pm  0.500  0.000  0.500
Tl  0.500  0.500  0.000
S  0.248  0.000  0.721
S  0.260  0.500  0.271
S  0.740  0.500  0.729
S  0.752  0.000  0.279

Output
* ΔE_f (raw): -13.8 eV/f.u.
* magnetic moment: 0.0 μB per cell
* space group: P2/m (10)
* raw total energy: -5.10 eV/atom

---

6.
An optimized crystal structure of K2IrRh2Se6. Source: Alexandria via LeMat-Bulk, functional GGA-PBE.

a = 6.612 Å, b = 6.612 Å, c = 7.684 Å
α = 98.28°, β = 98.28°, γ = 119.98°
Element x y z (fractional)
K  0.167  0.833  0.000
K  0.833  0.167  0.000
Ir  0.000  0.000  0.500
Rh  0.332  0.668  0.500
Rh  0.668  0.332  0.500
Se  0.058  0.389  0.668
Se  0.277  0.277  0.331
Se  0.389  0.058  0.668
Se  0.611  0.942  0.332
Se  0.723  0.723  0.669
Se  0.942  0.611  0.332

Output
* ΔE_f (raw): -6.7 eV/f.u.
* magnetic moment: 0.0 μB per cell
* space group: C2/m (12)
* DOS(E_F): 10.4 states/eV/f.u.
* raw total energy: -4.85 eV/atom